No. 1
Density functional theory data (PBE) for a geometry-optimized Tl2CdHgPd structure.

```
Tl2CdHgPd
1.0
5.3330 0.0000 0.0000
0.0000 5.3330 0.0000
0.0000 0.0000 5.3233
Tl Pd Cd Hg
2 1 1 1
Direct
0.0000 0.5000 0.0000 Tl
0.5000 0.0000 0.0000 Tl
0.0000 0.0000 0.0000 Pd
0.0000 0.0000 0.5000 Cd
0.5000 0.5000 0.5000 Hg
```

Computed properties:
ΔH_f (0 K)   -0.2 eV per formula unit
Spin magnetization   0.0 μB per cell
N(E_F)   0.371 states/eV/atom
ΔE to the lowest computed polymorph   0.0 meV per atom
Energy   -2.27 eV per atom



No. 2
Density functional theory data (PBE) for a geometry-optimized Tl2CdHg2Pd5 structure.

```
Tl2CdHg2Pd5
1.0
-2.1750 2.3813 -0.2553
-7.8975 -7.4373 -2.0879
-2.1238 -0.7804 10.8131
Cd Pd Hg Tl
2 10 4 4
Direct
0.0000 0.0000 0.0000 Cd
0.0000 0.5000 0.5000 Cd
0.5000 0.2957 0.5007 Pd
0.5000 0.2043 0.0007 Pd
0.5000 0.7957 0.9993 Pd
0.5000 0.0000 0.5000 Pd
0.5000 0.7043 0.4993 Pd
0.5000 0.9993 0.2043 Pd
0.5000 0.0007 0.7957 Pd
0.5000 0.5000 0.0000 Pd
0.5000 0.4993 0.2957 Pd
0.5000 0.5007 0.7043 Pd
0.0000 0.3476 0.1524 Hg
0.0000 0.6524 0.8476 Hg
0.0000 0.8476 0.3476 Hg
0.0000 0.1524 0.6524 Hg
0.0000 0.1598 0.3402 Tl
0.0000 0.6598 0.1598 Tl
0.0000 0.3402 0.8402 Tl
0.0000 0.8402 0.6598 Tl
```

Computed properties:
ΔH_f (0 K)   -1.0 eV per formula unit
Spin magnetization   0.0 μB per cell
N(E_F)   0.314 states/eV/atom
Energy   -3.32 eV per atom



No. 3
Density functional theory data (PBE) for a geometry-optimized TmCdHg2Pd2 structure.

```
TmCdHg2Pd2
1.0
4.6030 0.0000 0.0000
2.3015 3.9863 0.0000
2.3015 1.3288 9.6895
Hg Pd Tm Cd
2 2 1 1
Direct
0.4040 0.4040 0.7879 Hg
0.5960 0.5960 0.2121 Hg
0.6966 0.6966 0.9101 Pd
0.3034 0.3034 0.0899 Pd
0.0000 0.0000 0.0000 Tm
0.5000 0.5000 0.5000 Cd
```

Computed properties:
ΔH_f (0 K)   -1.2 eV per formula unit
Spin magnetization   0.0 μB per cell
N(E_F)   0.558 states/eV/atom
Energy   -2.93 eV per atom



No. 4
Density functional theory data (PBE) for a geometry-optimized TmCdHgPd structure.

```
TmCdHgPd
1.0
4.9049 0.0000 0.0000
2.4524 4.2478 0.0000
2.4524 1.4159 4.0048
Hg Pd Tm Cd
1 1 1 1
Direct
0.2500 0.2500 0.2500 Hg
0.7500 0.7500 0.7500 Pd
0.5000 0.5000 0.5000 Tm
0.0000 0.0000 0.0000 Cd
```

Computed properties:
ΔH_f (0 K)   -2.0 eV per formula unit
Spin magnetization   0.0 μB per cell
N(E_F)   0.618 states/eV/atom
Energy   -3.23 eV per atom



No. 5
Density functional theory data (PBE) for a geometry-optimized Zn2CdHg2Pd5 structure.

```
Zn2CdHg2Pd5
1.0
-1.0602 3.7306 0.1099
-7.9263 -2.3856 4.5180
4.4117 1.0100 8.2732
Zn Pd Hg Cd
4 10 4 2
Direct
0.0000 0.8730 0.3730 Zn
0.0000 0.3730 0.1270 Zn
0.0000 0.1270 0.6270 Zn
0.0000 0.6270 0.8730 Zn
0.5000 0.6957 0.4119 Pd
0.5000 0.9119 0.1957 Pd
0.5000 0.8043 0.9119 Pd
0.5000 0.4119 0.3043 Pd
0.5000 0.5881 0.6957 Pd
0.5000 0.0000 0.5000 Pd
0.5000 0.1957 0.0881 Pd
0.5000 0.5000 0.0000 Pd
0.5000 0.3043 0.5881 Pd
0.5000 0.0881 0.8043 Pd
0.0000 0.1692 0.3308 Hg
0.0000 0.6692 0.1692 Hg
0.0000 0.8308 0.6692 Hg
0.0000 0.3308 0.8308 Hg
0.0000 0.5000 0.5000 Cd
0.0000 0.0000 0.0000 Cd
```

Computed properties:
ΔH_f (0 K)   -2.6 eV per formula unit
Spin magnetization   0.0 μB per cell
N(E_F)   0.297 states/eV/atom
Energy   -3.26 eV per atom



No. 6
Density functional theory data (PBE) for a geometry-optimized Zn2Cd2HgPd5 structure.

```
Zn2Cd2HgPd5
1.0
-1.2677 -2.2798 -2.8286
-4.8054 -5.1560 6.3093
-7.5286 5.6112 -1.1485
Zn Hg Pd Cd
4 2 10 4
Direct
0.0000 0.6258 0.8742 Zn
0.0000 0.8742 0.3742 Zn
0.0000 0.3742 0.1258 Zn
0.0000 0.1258 0.6258 Zn
0.0000 0.0000 0.0000 Hg
0.0000 0.5000 0.5000 Hg
0.5000 0.0838 0.7999 Pd
0.5000 0.5000 0.0000 Pd
0.5000 0.0000 0.5000 Pd
0.5000 0.7999 0.9162 Pd
0.5000 0.4162 0.2999 Pd
0.5000 0.2999 0.5838 Pd
0.5000 0.2001 0.0838 Pd
0.5000 0.5838 0.7001 Pd
0.5000 0.7001 0.4162 Pd
0.5000 0.9162 0.2001 Pd
0.0000 0.1706 0.3294 Cd
0.0000 0.8294 0.6706 Cd
0.0000 0.3294 0.8294 Cd
0.0000 0.6706 0.1706 Cd
```

Computed properties:
ΔH_f (0 K)   -3.1 eV per formula unit
Spin magnetization   0.0 μB per cell
N(E_F)   0.246 states/eV/atom
Energy   -3.38 eV per atom



No. 7
Density functional theory data (PBE) for a geometry-optimized PmCd3Hg3 structure.

```
PmCd3Hg3
1.0
7.3158 0.0000 0.0000
3.6579 6.3356 0.0000
3.6579 2.1119 7.7686
Hg Cd Pm
6 6 2
Direct
0.8114 0.2958 0.8144 Hg
0.9216 0.1886 0.1856 Hg
0.0784 0.8114 0.8144 Hg
0.2958 0.0784 0.8144 Hg
0.1886 0.7042 0.1856 Hg
0.7042 0.9216 0.1856 Hg
0.5599 0.7339 0.6142 Cd
0.4401 0.2661 0.3858 Cd
0.0919 0.5599 0.6142 Cd
0.2661 0.9081 0.3858 Cd
0.7339 0.0919 0.6142 Cd
0.9081 0.4401 0.3858 Cd
0.3303 0.3303 0.0090 Pm
0.6697 0.6697 0.9910 Pm
```

Computed properties:
ΔH_f (0 K)   -0.9 eV per formula unit
Spin magnetization   0.0 μB per cell
N(E_F)   0.533 states/eV/atom
ΔE to the lowest computed polymorph   0.0 meV per atom
Energy   -1.33 eV per atom



No. 8
Density functional theory data (PBE) for a geometry-optimized PmCd14Hg structure.

```
PmCd14Hg
1.0
6.6516 -0.0139 0.0000
0.0144 6.6516 0.0000
0.0000 0.0000 8.5371
Cd Hg Pm
14 1 1
Direct
0.3750 0.8750 0.5000 Cd
0.1305 0.1305 0.7569 Cd
0.6195 0.6195 0.7569 Cd
0.6194 0.1306 0.7569 Cd
0.1306 0.6194 0.7569 Cd
0.6195 0.6195 0.2431 Cd
0.1306 0.6194 0.2431 Cd
0.8750 0.3750 0.5000 Cd
0.8750 0.3750 0.0000 Cd
0.8750 0.8750 0.0000 Cd
0.6194 0.1306 0.2431 Cd
0.3750 0.3750 0.0000 Cd
0.3750 0.8750 0.0000 Cd
0.1305 0.1305 0.2431 Cd
0.3750 0.3750 0.5000 Hg
0.8750 0.8750 0.5000 Pm
```

Computed properties:
ΔH_f (0 K)   -0.8 eV per formula unit
Spin magnetization   0.0 μB per cell
N(E_F)   0.334 states/eV/atom
Energy   -1.16 eV per atom



No. 9
Density functional theory data (PBE) for a geometry-optimized PmCdHg4 structure.

```
PmCdHg4
1.0
5.1299 0.1073 -0.9742
-0.7216 7.9302 -2.9099
-0.1094 -1.4983 8.2891
Pm Cd Hg
2 2 8
Direct
0.8711 0.8000 0.6000 Pm
0.1289 0.2000 0.4000 Pm
0.7624 0.5580 0.1159 Cd
0.2376 0.4420 0.8841 Cd
0.4116 0.0634 0.7370 Hg
0.7105 0.3348 0.6690 Hg
0.4115 0.6739 0.7374 Hg
0.2895 0.6652 0.3310 Hg
0.5885 0.3261 0.2626 Hg
0.5884 0.9366 0.2630 Hg
0.9999 0.1885 0.9999 Hg
0.0001 0.8115 0.0001 Hg
```

Computed properties:
ΔH_f (0 K)   -1.1 eV per formula unit
Spin magnetization   0.0 μB per cell
N(E_F)   0.373 states/eV/atom
ΔE to the lowest computed polymorph   63.8 meV per atom
Energy   -1.32 eV per atom



No. 10
Density functional theory data (PBE) for a geometry-optimized PmCd6Hg12 structure.

```
PmCd6Hg12
1.0
8.1429 -0.4246 -2.1864
-2.7428 7.6788 -2.1864
-0.3161 -0.4246 8.4254
Hg Cd Pm
12 6 1
Direct
0.8499 0.3042 0.0018 Hg
0.0018 0.8499 0.3042 Hg
0.3042 0.0018 0.8499 Hg
0.6958 0.9982 0.1501 Hg
0.1580 0.6366 0.4811 Hg
0.5189 0.8420 0.3634 Hg
0.8420 0.3634 0.5189 Hg
0.6366 0.4811 0.1580 Hg
0.4811 0.1580 0.6366 Hg
0.3634 0.5189 0.8420 Hg
0.9982 0.1501 0.6958 Hg
0.1501 0.6958 0.9982 Hg
0.5608 0.8318 0.7305 Cd
0.7305 0.5608 0.8318 Cd
0.1682 0.2695 0.4392 Cd
0.4392 0.1682 0.2695 Cd
0.2695 0.4392 0.1682 Cd
0.8318 0.7305 0.5608 Cd
0.0000 0.0000 0.0000 Pm
```

Computed properties:
ΔH_f (0 K)   -1.0 eV per formula unit
Spin magnetization   0.0 μB per cell
N(E_F)   0.336 states/eV/atom
ΔE to the lowest computed polymorph   0.0 meV per atom
Energy   -0.78 eV per atom



No. 11
Density functional theory data (PBE) for a geometry-optimized Pm2Cd12Hg structure.

```
Pm2Cd12Hg
1.0
-1.8174 -5.9979 -1.0962
4.1384 -2.0535 4.3745
-13.1642 1.5774 13.1942
Cd Hg Pm
24 2 4
Direct
0.2500 0.7500 0.0997 Cd
0.1661 0.3339 0.4322 Cd
0.8339 0.3339 0.5678 Cd
0.3339 0.1661 0.5678 Cd
0.6661 0.1661 0.4322 Cd
0.3339 0.8339 0.4322 Cd
0.7500 0.2500 0.9003 Cd
0.0000 0.0000 0.6590 Cd
0.2500 0.2500 0.0997 Cd
0.7500 0.7500 0.9003 Cd
0.5000 0.5000 0.1956 Cd
0.5000 0.5000 0.8044 Cd
0.2500 0.2500 0.9003 Cd
0.0000 0.0000 0.1956 Cd
0.5000 0.5000 0.6590 Cd
0.5000 0.5000 0.3410 Cd
0.6661 0.8339 0.5678 Cd
0.2500 0.7500 0.9003 Cd
0.8339 0.6661 0.4322 Cd
0.1661 0.6661 0.5678 Cd
0.0000 0.0000 0.3410 Cd
0.0000 0.0000 0.8044 Cd
0.7500 0.2500 0.0997 Cd
0.7500 0.7500 0.0997 Cd
0.5000 0.0000 0.0000 Hg
0.0000 0.5000 0.0000 Hg
0.5000 0.0000 0.2564 Pm
0.0000 0.5000 0.2564 Pm
0.5000 0.0000 0.7436 Pm
0.0000 0.5000 0.7436 Pm
```

Computed properties:
ΔH_f (0 K)   -1.4 eV per formula unit
Spin magnetization   0.0 μB per cell
N(E_F)   0.617 states/eV/atom
Energy   -1.48 eV per atom



No. 12
Density functional theory data (PBE) for a geometry-optimized PmCd3Hg3 structure.

```
PmCd3Hg3
1.0
-4.0738 3.5093 -2.6888
-3.8501 -4.6133 -0.1876
-2.1728 1.5948 5.3736
Cd Pm Hg
3 1 3
Direct
0.0000 0.5000 0.0000 Cd
0.0000 0.0000 0.5000 Cd
0.5000 0.0000 0.0000 Cd
0.5000 0.5000 0.5000 Pm
0.5000 0.0000 0.5000 Hg
0.5000 0.5000 0.0000 Hg
0.0000 0.5000 0.5000 Hg
```

Computed properties:
ΔH_f (0 K)   0.6 eV per formula unit
Spin magnetization   0.0 μB per cell
N(E_F)   0.848 states/eV/atom
ΔE to the lowest computed polymorph   217.1 meV per atom
Energy   -1.11 eV per atom